# Be2Rh3W (PBE, relaxed)
data_Be2Rh3W
_chemical_formula_sum 'Be2 Rh3 W1'
_cell_length_a 2.811
_cell_length_b 2.811
_cell_length_c 9.298
_cell_angle_alpha 90.00
_cell_angle_beta 90.00
_cell_angle_gamma 90.00
_space_group_name_H-M_alt 'P 4/m m m'
_space_group_IT_number 123
_space_group_name_Hall '-P 4 2'
loop_
_atom_site_label
_atom_site_type_symbol
_atom_site_fract_x
_atom_site_fract_y
_atom_site_fract_z
Be1 Be 0.000 0.000 0.144
Rh1 Rh 0.500 0.500 0.000
Rh2 Rh 0.500 0.500 0.300
W1 W 0.000 0.000 0.500
# D(E_F) ... 4.4 states/eV per cell
# V ... 12.2 A^3/atom
# VASP energy ... -45.35 eV per cell